1.
VCoHg2 | PBE | optimized geometry

Cell: 6.4549 6.4549 6.4549 Å, 90.00 90.00 90.00°
With the nearest neighbours (Å) after each atom.
Space group Fm-3m (No. 225)
One atom of each set of equivalent atoms:
V1 0.0000 0.0000 0.0000 (multiplicity 4)  8 Hg 2.80
Co1 0.0000 0.0000 0.5000 (multiplicity 4)  8 Hg 2.80
Hg1 0.2500 0.2500 0.2500 (multiplicity 8)  4 Co 2.80, 4 V 2.80

Results
Total energy   -3.70 eV/atom
Formation energy from the elements   48.5 kJ per mole of atoms
Total magnetization   0.72 μB/f.u.
Volume   269 Å³ per cell
Offset from the most stable computed form   0 meV/atom
Crystal system   cubic


2.
CoHgW2 | PBE | optimized geometry

Cell: 3.1607 3.1607 6.4156 Å, 90.00 90.00 90.00°
With the nearest neighbours (Å) after each atom.
Space group P4mm (No. 99)
One atom of each set of equivalent atoms:
Co1 0.0000 0.0000 0.0000 (multiplicity 1)  5 W 2.55-2.75, 4 Hg 2.81
Hg1 0.5000 0.5000 0.2664 (multiplicity 1)  4 Co 2.81, 5 W 2.93-2.97
W1 0.0000 0.0000 0.5714 (multiplicity 1)  4 W 2.71, 1 Co 2.75, 4 Hg 2.97
W2 0.5000 0.5000 0.8102 (multiplicity 1)  4 Co 2.55, 4 W 2.71

Results
Total energy   -7.85 eV/atom
Formation energy from the elements   46.0 kJ per mole of atoms
Total magnetization   0.00 μB/f.u.
Volume   64 Å³ per cell
Crystal system   tetragonal


3.
CoHgW | PBE | optimized geometry

Cell: 2.7905 5.2403 7.2494 Å, 70.22 89.71 74.58°
With the nearest neighbours (Å) after each atom.
Space group P-1 (No. 2)
One atom of each set of equivalent atoms:
Co1 0.0452 0.4053 0.2527 (multiplicity 2)  4 W 2.55-2.60, 2 Co 2.79, 3 Hg 2.80-2.85
Hg1 0.3479 0.8139 0.3832 (multiplicity 2)  3 Hg 2.79-3.03, 5 Co 2.80-2.92, 3 W 3.00-3.09
W1 0.3525 0.7670 0.9824 (multiplicity 2)  4 Co 2.55-2.60, 4 W 2.62-2.79

Results
Total energy   -6.40 eV/atom
Formation energy from the elements   37.4 kJ per mole of atoms
Total magnetization   0.00 μB/f.u.
Volume   96 Å³ per cell
Offset from the most stable computed form   134 meV/atom
Crystal system   triclinic


4.
CoHgW | PBE | optimized geometry

Cell: 5.9002 5.9002 5.9002 Å, 90.00 90.00 90.00°
With the nearest neighbours (Å) after each atom.
Space group F-43m (No. 216)
One atom of each set of equivalent atoms:
Co1 0.0000 0.0000 0.0000 (multiplicity 4)  4 Hg 2.55, 4 W 2.55
Hg1 0.2500 0.2500 0.7500 (multiplicity 4)  4 Co 2.55
W1 0.2500 0.2500 0.2500 (multiplicity 4)  4 Co 2.55

Results
Total energy   -6.00 eV/atom
Formation energy from the elements   75.6 kJ per mole of atoms
Total magnetization   0.50 μB/f.u.
Volume   205 Å³ per cell
Offset from the most stable computed form   531 meV/atom
Crystal system   cubic


Q: Which formula does entry 3 have?
A: CoHgW